Record 1
! BaNbS2, relaxed, DFT GGA-PBE; values from VASP
&SYSTEM
  ibrav = 0, nat = 8, ntyp = 3
/
ATOMIC_SPECIES
Nb 92.91 Nb.upf
S 32.06 S.upf
Ba 137.33 Ba.upf
ATOMIC_POSITIONS crystal
Nb 0.5000 0.5000 0.0000
Nb 0.2500 0.7500 0.5000
S 0.2348 0.6250 0.2500
S 0.8750 0.7652 0.7500
S 0.5152 0.1250 0.2500
S 0.3750 0.4848 0.7500
Ba 0.0000 0.0000 0.0000
Ba 0.7500 0.2500 0.5000
CELL_PARAMETERS angstrom
-1.3171 -5.0301 -3.0395
4.9162 -2.6498 2.2548
-1.7382 -6.0238 4.7548
! Excess energy over the best structure of this formula in the dataset = 0.0 kJ/mol of atoms
! Energy relative to the elements, uncorrected = -0.963 eV/atom
! Total magnetization = 1.994 Bohr magnetons per cell

Record 2
! BaNbS2, relaxed, DFT GGA-PBE; values from VASP
&SYSTEM
  ibrav = 0, nat = 4, ntyp = 3
/
ATOMIC_SPECIES
S 32.06 S.upf
Nb 92.91 Nb.upf
Ba 137.33 Ba.upf
ATOMIC_POSITIONS crystal
S 0.2500 0.2500 0.2500
S 0.7500 0.7500 0.7500
Nb 0.0000 0.0000 0.0000
Ba 0.5000 0.5000 0.5000
CELL_PARAMETERS angstrom
0.0000 3.4861 3.4861
3.4861 0.0000 3.4861
3.4861 3.4861 0.0000
! Excess energy over the best structure of this formula in the dataset = 35.6 kJ/mol of atoms
! Energy relative to the elements, uncorrected = -0.594 eV/atom
! Total magnetization = 1.000 Bohr magnetons per cell

Record 3
! BaNbS4, relaxed, DFT GGA-PBE; values from VASP
&SYSTEM
  ibrav = 0, nat = 12, ntyp = 3
/
ATOMIC_SPECIES
S 32.06 S.upf
Ba 137.33 Ba.upf
Nb 92.91 Nb.upf
ATOMIC_POSITIONS crystal
S 0.2321 0.7143 0.4287
S 0.7679 0.2857 0.5713
S 0.0000 0.7659 0.0000
S 0.5528 0.3386 0.1518
S 0.0000 0.2341 0.0000
S 0.4472 0.6614 0.8482
S 0.5528 0.8131 0.1518
S 0.4472 0.1869 0.8482
Ba 0.7717 0.8086 0.6172
Ba 0.2283 0.1914 0.3828
Nb 0.2328 0.5361 0.0721
Nb 0.7672 0.4639 0.9279
CELL_PARAMETERS angstrom
6.3845 0.0000 0.3093
0.0000 7.0887 0.0000
-1.4383 -3.5443 6.6310
! Excess energy over the best structure of this formula in the dataset = 8.7 kJ/mol of atoms
! Energy relative to the elements, uncorrected = -1.073 eV/atom
! Total magnetization = 0.000 Bohr magnetons per cell

Record 4
! BaNbS2, relaxed, DFT GGA-PBE; values from VASP
&SYSTEM
  ibrav = 0, nat = 4, ntyp = 3
/
ATOMIC_SPECIES
S 32.06 S.upf
Nb 92.91 Nb.upf
Ba 137.33 Ba.upf
ATOMIC_POSITIONS crystal
S 0.1019 0.1019 0.1019
S 0.8981 0.8981 0.8981
Nb 0.0000 0.0000 0.0000
Ba 0.5000 0.5000 0.5000
CELL_PARAMETERS angstrom
0.1237 7.5816 3.0147
4.4959 5.6596 3.7869
3.3608 7.4133 -0.5769
! Excess energy over the best structure of this formula in the dataset = 39.6 kJ/mol of atoms
! Energy relative to the elements, uncorrected = -0.552 eV/atom
! Total magnetization = 2.615 Bohr magnetons per cell

Record 5
! Ba3NbS6, relaxed, DFT GGA-PBE; values from VASP
&SYSTEM
  ibrav = 0, nat = 20, ntyp = 3
/
ATOMIC_SPECIES
S 32.06 S.upf
Ba 137.33 Ba.upf
Nb 92.91 Nb.upf
ATOMIC_POSITIONS crystal
S 0.8356 0.7320 0.9331
S 0.6644 0.2320 0.5669
S 0.3356 0.7680 0.4331
S 0.8837 0.9587 0.2183
S 0.7270 0.1744 0.9478
S 0.1644 0.2680 0.0669
S 0.2270 0.3256 0.4478
S 0.3837 0.5413 0.7183
S 0.7730 0.6744 0.5522
S 0.1163 0.0413 0.7817
S 0.6163 0.4587 0.2817
S 0.2730 0.8256 0.0522
Ba 0.4694 0.0768 0.2481
Ba 0.9694 0.4232 0.7481
Ba 0.0306 0.5768 0.2519
Ba 0.5000 0.5000 0.0000
Ba 0.5306 0.9232 0.7519
Ba 0.0000 0.0000 0.5000
Nb 0.0000 0.0000 0.0000
Nb 0.5000 0.5000 0.5000
CELL_PARAMETERS angstrom
-4.0865 1.6668 -5.8166
-0.5002 -7.5498 -1.8120
-8.5444 -0.8498 5.8996
! Energy relative to the elements, uncorrected = -1.429 eV/atom
! Total magnetization = 1.792 Bohr magnetons per cell

Record 6
! Ba2Nb2S, relaxed, DFT GGA-PBE; values from VASP
&SYSTEM
  ibrav = 0, nat = 10, ntyp = 3
/
ATOMIC_SPECIES
Ba 137.33 Ba.upf
Nb 92.91 Nb.upf
S 32.06 S.upf
ATOMIC_POSITIONS crystal
Ba 0.8257 0.3257 0.5000
Ba 0.6743 0.8257 0.5000
Ba 0.1743 0.6743 0.5000
Ba 0.3257 0.1743 0.5000
Nb 0.8502 0.6498 0.0000
Nb 0.3502 0.8502 0.0000
Nb 0.1498 0.3502 0.0000
Nb 0.6498 0.1498 0.0000
S 0.0000 0.0000 0.0000
S 0.5000 0.5000 0.0000
CELL_PARAMETERS angstrom
6.5550 0.0000 0.0000
0.0000 6.5550 0.0000
0.0000 0.0000 6.1752
! Excess energy over the best structure of this formula in the dataset = 0.0 kJ/mol of atoms
! Energy relative to the elements, uncorrected = 0.261 eV/atom
! Total magnetization = 0.001 Bohr magnetons per cell

Record 7
! Ba8Nb7S24, relaxed, DFT GGA-PBE; values from VASP
&SYSTEM
  ibrav = 0, nat = 78, ntyp = 3
/
ATOMIC_SPECIES
S 32.06 S.upf
Ba 137.33 Ba.upf
Nb 92.91 Nb.upf
ATOMIC_POSITIONS crystal
S 0.6258 0.1670 0.0548
S 0.2279 0.0965 0.4953
S 0.3770 0.6677 0.1769
S 0.6326 0.3360 0.3193
S 0.7319 0.0884 0.7404
S 0.1250 0.1715 0.3020
S 0.1423 0.3278 0.0763
S 0.2494 0.4269 0.2551
S 0.5085 0.9184 0.6331
S 0.0084 0.0716 0.1195
S 0.7506 0.5731 0.7449
S 0.7672 0.5817 0.2505
S 0.7406 0.4195 0.0038
S 0.4702 0.9282 0.1256
S 0.3742 0.8330 0.9452
S 0.3674 0.6640 0.6807
S 0.5139 0.4185 0.1340
S 0.5298 0.0718 0.8744
S 0.2702 0.5618 0.5005
S 0.3695 0.8294 0.4490
S 0.9916 0.9284 0.8805
S 0.7486 0.0987 0.2396
S 0.2594 0.5805 0.9962
S 0.0029 0.5949 0.1245
S 0.2681 0.9116 0.2596
S 0.8577 0.6722 0.9237
S 0.2328 0.4183 0.7495
S 0.6305 0.1706 0.5510
S 0.4960 0.6065 0.3659
S 0.4915 0.0816 0.3669
S 0.2419 0.0929 0.9859
S 0.7721 0.9035 0.5047
S 0.9970 0.9343 0.3680
S 0.7581 0.9071 0.0141
S 0.6230 0.3323 0.8231
S 0.9971 0.4051 0.8755
S 0.0030 0.0657 0.6320
S 0.4861 0.5815 0.8660
S 0.1308 0.1598 0.8002
S 0.8692 0.8402 0.1998
S 0.9924 0.5978 0.6146
S 0.5040 0.3935 0.6341
S 0.8750 0.8285 0.6980
S 0.2514 0.9013 0.7604
S 0.1050 0.3297 0.5734
S 0.0076 0.4022 0.3854
S 0.8950 0.6703 0.4266
S 0.7298 0.4382 0.4995
Ba 0.6265 0.6561 0.0623
Ba 0.3599 0.1540 0.6732
Ba 0.1120 0.6520 0.8137
Ba 0.1177 0.8210 0.0542
Ba 0.6092 0.8133 0.8039
Ba 0.6401 0.8460 0.3268
Ba 0.3747 0.3250 0.4306
Ba 0.8669 0.1604 0.4297
Ba 0.8880 0.3480 0.1863
Ba 0.1254 0.6703 0.3046
Ba 0.3908 0.1867 0.1961
Ba 0.8823 0.1790 0.9458
Ba 0.8746 0.3297 0.6954
Ba 0.6253 0.6750 0.5694
Ba 0.1331 0.8396 0.5703
Ba 0.3735 0.3439 0.9377
Nb 0.0000 0.5000 0.5000
Nb 0.7499 0.5057 0.3734
Nb 0.7680 0.4961 0.8930
Nb 0.4992 0.5062 0.2528
Nb 0.2501 0.4943 0.6266
Nb 0.7301 0.0046 0.6027
Nb 0.9678 0.9890 0.7577
Nb 0.2699 0.9954 0.3973
Nb 0.5008 0.4938 0.7472
Nb 0.0322 0.0110 0.2423
Nb 0.5000 0.0000 0.0000
Nb 0.2769 0.0063 0.8695
Nb 0.2320 0.5039 0.1070
Nb 0.7231 0.9937 0.1305
CELL_PARAMETERS angstrom
-5.5748 -4.8779 -4.7461
9.0259 -6.5914 -4.4547
0.9228 -10.4117 15.5360
! Energy relative to the elements, uncorrected = -1.440 eV/atom
! Total magnetization = 0.000 Bohr magnetons per cell

Record 8
! BaNbS2, relaxed, DFT GGA-PBE; values from VASP
&SYSTEM
  ibrav = 0, nat = 4, ntyp = 3
/
ATOMIC_SPECIES
Ba 137.33 Ba.upf
Nb 92.91 Nb.upf
S 32.06 S.upf
ATOMIC_POSITIONS crystal
Ba 0.0000 0.0000 0.0000
Nb 0.5000 0.5000 0.5000
S 0.1133 0.1133 0.1133
S 0.8867 0.8867 0.8867
CELL_PARAMETERS angstrom
2.1002 0.0000 9.0568
-1.0501 1.8188 9.0568
-1.0501 -1.8188 9.0568
! Excess energy over the best structure of this formula in the dataset = 18.8 kJ/mol of atoms
! Energy relative to the elements, uncorrected = -0.769 eV/atom
! Total magnetization = 0.000 Bohr magnetons per cell

Record 9
! Ba2ScNbS6, relaxed, DFT GGA-PBE; values from VASP
&SYSTEM
  ibrav = 0, nat = 20, ntyp = 4
/
ATOMIC_SPECIES
S 32.06 S.upf
Sc 44.96 Sc.upf
Ba 137.33 Ba.upf
Nb 92.91 Nb.upf
ATOMIC_POSITIONS crystal
S 0.7962 0.7962 0.1201
S 0.7962 0.2874 0.1201
S 0.3751 0.3751 0.3764
S 0.2874 0.7962 0.1201
S 0.1265 0.6249 0.6236
S 0.6249 0.6249 0.6236
S 0.8735 0.3751 0.3764
S 0.7126 0.2038 0.8799
S 0.3751 0.8735 0.3764
S 0.2038 0.2038 0.8799
S 0.2038 0.7126 0.8799
S 0.6249 0.1265 0.6236
Sc 0.5868 0.5868 0.2396
Sc 0.4132 0.4132 0.7604
Ba 0.8726 0.8726 0.3821
Ba 0.2926 0.2926 0.1221
Ba 0.7074 0.7074 0.8779
Ba 0.1274 0.1274 0.6179
Nb 0.0000 0.0000 0.0000
Nb 0.5000 0.5000 0.5000
CELL_PARAMETERS angstrom
6.9730 0.0000 0.0000
3.4865 6.0388 0.0000
3.4865 2.0129 11.8256
! Energy relative to the elements, uncorrected = -1.619 eV/atom
! Total magnetization = 0.000 Bohr magnetons per cell

Record 10
! BaNbSnS2, relaxed, DFT GGA-PBE; values from VASP
&SYSTEM
  ibrav = 0, nat = 5, ntyp = 4
/
ATOMIC_SPECIES
Ba 137.33 Ba.upf
Sn 118.71 Sn.upf
Nb 92.91 Nb.upf
S 32.06 S.upf
ATOMIC_POSITIONS crystal
Ba 0.5000 0.5000 0.5000
Sn 0.0000 0.0000 0.0000
Nb 0.0000 0.5000 0.0000
S 0.5000 0.0000 0.0000
S 0.0000 0.0000 0.5000
CELL_PARAMETERS angstrom
5.3614 0.0000 0.0000
0.0000 5.3325 0.0000
0.0000 0.0000 5.3614
! Energy relative to the elements, uncorrected = 0.220 eV/atom
! Total magnetization = 3.674 Bohr magnetons per cell

Record 11
! BaTaNbS6, relaxed, DFT GGA-PBE; values from VASP
&SYSTEM
  ibrav = 0, nat = 9, ntyp = 4
/
ATOMIC_SPECIES
S 32.06 S.upf
Ta 180.95 Ta.upf
Ba 137.33 Ba.upf
Nb 92.91 Nb.upf
ATOMIC_POSITIONS crystal
S 0.9872 0.6192 0.7104
S 0.6192 0.3936 0.7104
S 0.0107 0.3942 0.2854
S 0.3942 0.5951 0.2854
S 0.5951 0.0107 0.2854
S 0.3936 0.9872 0.7104
Ta 0.6666 0.6667 0.4591
Ba 0.0000 0.0000 0.0090
Nb 0.3333 0.3333 0.5444
CELL_PARAMETERS angstrom
6.4581 0.0000 0.0000
3.2291 5.5928 0.0002
0.0001 -0.0001 6.7999
! Energy relative to the elements, uncorrected = -1.154 eV/atom
! Total magnetization = 0.000 Bohr magnetons per cell

Record 12
! BaTiNb2S8, relaxed, DFT GGA-PBE; values from VASP
&SYSTEM
  ibrav = 0, nat = 12, ntyp = 4
/
ATOMIC_SPECIES
S 32.06 S.upf
Nb 92.91 Nb.upf
Ti 47.87 Ti.upf
Ba 137.33 Ba.upf
ATOMIC_POSITIONS crystal
S 0.1554 0.8446 0.8207
S 0.3333 0.6667 0.4640
S 0.6892 0.8446 0.8207
S 0.8446 0.1554 0.1793
S 0.3108 0.1554 0.1793
S 0.1554 0.3108 0.8207
S 0.6667 0.3333 0.5360
S 0.8446 0.6892 0.1793
Nb 0.6667 0.3333 0.2659
Nb 0.3333 0.6667 0.7341
Ti 0.0000 0.0000 0.0000
Ba 0.0000 0.0000 0.5000
CELL_PARAMETERS angstrom
-5.2301 -4.7764 0.6766
6.7808 -2.0179 0.7581
-0.4222 1.6008 8.0379
! Energy relative to the elements, uncorrected = -1.003 eV/atom
! Total magnetization = 0.000 Bohr magnetons per cell

Record 13
! Ba2TiNbS6, relaxed, DFT GGA-PBE; values from VASP
&SYSTEM
  ibrav = 0, nat = 20, ntyp = 4
/
ATOMIC_SPECIES
S 32.06 S.upf
Nb 92.91 Nb.upf
Ba 137.33 Ba.upf
Ti 47.87 Ti.upf
ATOMIC_POSITIONS crystal
S 0.7911 0.7911 0.1237
S 0.6248 0.6248 0.6288
S 0.2089 0.2089 0.8763
S 0.7060 0.2089 0.8763
S 0.6248 0.1216 0.6288
S 0.8784 0.3752 0.3712
S 0.1216 0.6248 0.6288
S 0.2940 0.7911 0.1237
S 0.7911 0.2940 0.1237
S 0.3752 0.8784 0.3712
S 0.3752 0.3752 0.3712
S 0.2089 0.7060 0.8763
Nb 0.5000 0.5000 0.5000
Nb 0.0000 0.0000 0.0000
Ba 0.8774 0.8774 0.3679
Ba 0.1226 0.1226 0.6321
Ba 0.7062 0.7062 0.8814
Ba 0.2938 0.2938 0.1186
Ti 0.4176 0.4176 0.7473
Ti 0.5824 0.5824 0.2527
CELL_PARAMETERS angstrom
6.8985 0.0000 0.0000
3.4492 5.9742 0.0000
3.4492 1.9914 11.4392
! Energy relative to the elements, uncorrected = -1.544 eV/atom
! Total magnetization = 0.000 Bohr magnetons per cell

Record 14
! BaNbTl2S4, relaxed, DFT GGA-PBE; values from VASP
&SYSTEM
  ibrav = 0, nat = 16, ntyp = 4
/
ATOMIC_SPECIES
S 32.06 S.upf
Ba 137.33 Ba.upf
Tl 204.38 Tl.upf
Nb 92.91 Nb.upf
ATOMIC_POSITIONS crystal
S 0.9329 0.3143 0.2342
S 0.4329 0.6857 0.2658
S 0.4329 0.6857 0.7342
S 0.9329 0.3143 0.7658
S 0.4327 0.0349 0.5000
S 0.8832 0.7771 0.5000
S 0.9327 0.9651 0.0000
S 0.3832 0.2229 0.0000
Ba 0.9323 0.0947 0.5000
Ba 0.4323 0.9053 0.0000
Tl 0.9362 0.6418 0.2034
Tl 0.4362 0.3582 0.2966
Tl 0.4362 0.3582 0.7034
Tl 0.9362 0.6418 0.7966
Nb 0.0135 0.2022 0.0000
Nb 0.5135 0.7978 0.5000
CELL_PARAMETERS angstrom
-0.2256 4.3570 4.5683
-0.0683 -7.0186 6.6906
8.6098 0.1684 0.2646
! Energy relative to the elements, uncorrected = -0.935 eV/atom
! Total magnetization = 2.097 Bohr magnetons per cell

Record 15
! Ba2NbTl3S6, relaxed, DFT GGA-PBE; values from VASP
&SYSTEM
  ibrav = 0, nat = 12, ntyp = 4
/
ATOMIC_SPECIES
S 32.06 S.upf
Tl 204.38 Tl.upf
Nb 92.91 Nb.upf
Ba 137.33 Ba.upf
ATOMIC_POSITIONS crystal
S 0.2039 0.2039 0.7837
S 0.9306 0.6624 0.7964
S 0.7961 0.7961 0.2163
S 0.3376 0.0694 0.2036
S 0.0694 0.3376 0.2036
S 0.6624 0.9306 0.7964
Tl 0.5000 0.5000 0.5000
Tl 0.1577 0.8423 0.5000
Tl 0.8423 0.1577 0.5000
Nb 0.0000 0.0000 0.0000
Ba 0.3324 0.6676 0.0000
Ba 0.6676 0.3324 0.0000
CELL_PARAMETERS angstrom
7.5176 0.0024 0.0255
-3.7549 6.5127 0.0255
-1.2312 -2.1318 7.1081
! Energy relative to the elements, uncorrected = -1.075 eV/atom
! Total magnetization = 0.000 Bohr magnetons per cell

Record 16
! Ba2TmNbS6, relaxed, DFT GGA-PBE; values from VASP
&SYSTEM
  ibrav = 0, nat = 20, ntyp = 4
/
ATOMIC_SPECIES
S 32.06 S.upf
Nb 92.91 Nb.upf
Ba 137.33 Ba.upf
Tm 168.93 Tm.upf
ATOMIC_POSITIONS crystal
S 0.3730 0.8718 0.3823
S 0.3730 0.3730 0.3823
S 0.2869 0.7990 0.1152
S 0.7990 0.7990 0.1152
S 0.6270 0.1282 0.6177
S 0.1282 0.6270 0.6177
S 0.7131 0.2010 0.8848
S 0.2010 0.7131 0.8848
S 0.8718 0.3730 0.3823
S 0.6270 0.6270 0.6177
S 0.7990 0.2869 0.1152
S 0.2010 0.2010 0.8848
Nb 0.5000 0.5000 0.5000
Nb 0.0000 0.0000 0.0000
Ba 0.7005 0.7005 0.8984
Ba 0.1340 0.1340 0.5980
Ba 0.2995 0.2995 0.1016
Ba 0.8660 0.8660 0.4020
Tm 0.5862 0.5862 0.2414
Tm 0.4138 0.4138 0.7586
CELL_PARAMETERS angstrom
7.0241 0.0000 0.0000
3.5121 6.0831 0.0000
3.5121 2.0277 12.3787
! Energy relative to the elements, uncorrected = -1.629 eV/atom
! Total magnetization = 0.000 Bohr magnetons per cell

Record 17
! BaUNb2S8, relaxed, DFT GGA-PBE; values from VASP
&SYSTEM
  ibrav = 0, nat = 12, ntyp = 4
/
ATOMIC_SPECIES
S 32.06 S.upf
Ba 137.33 Ba.upf
Nb 92.91 Nb.upf
U 238.03 U.upf
ATOMIC_POSITIONS crystal
S 0.1699 0.1699 0.4904
S 0.7132 0.0813 0.8217
S 0.2868 0.9187 0.1783
S 0.6161 0.2868 0.1783
S 0.9187 0.6161 0.1783
S 0.8301 0.8301 0.5096
S 0.3839 0.7132 0.8217
S 0.0813 0.3839 0.8217
Ba 0.5000 0.5000 0.5000
Nb 0.7478 0.7478 0.7567
Nb 0.2522 0.2522 0.2433
U 0.0000 0.0000 0.0000
CELL_PARAMETERS angstrom
-4.1470 -2.6004 4.1855
0.2471 -6.3067 1.2816
4.4796 -1.3780 8.5372
! Energy relative to the elements, uncorrected = -1.086 eV/atom
! Total magnetization = 2.000 Bohr magnetons per cell

Record 18
! BaNbVS6, relaxed, DFT GGA-PBE; values from VASP
&SYSTEM
  ibrav = 0, nat = 9, ntyp = 4
/
ATOMIC_SPECIES
S 32.06 S.upf
V 50.94 V.upf
Nb 92.91 Nb.upf
Ba 137.33 Ba.upf
ATOMIC_POSITIONS crystal
S 0.6472 0.3689 0.7027
S 0.3721 0.9829 0.7058
S 0.4925 0.5133 0.2596
S 0.9947 0.4925 0.2599
S 0.9840 0.6471 0.7028
S 0.5110 0.9951 0.2592
V 0.6665 0.6673 0.5010
Nb 0.3334 0.3329 0.5189
Ba 0.9984 0.0002 0.0900
CELL_PARAMETERS angstrom
6.2512 -0.0037 0.0060
3.1223 5.4043 0.0101
0.0047 0.0038 6.5334
! Energy relative to the elements, uncorrected = -1.020 eV/atom
! Total magnetization = 0.074 Bohr magnetons per cell

no.,calculated volume (A^3/atom),electronic total energy (eV/atom)
1,30.002,-6.0249
2,21.183,-5.6555
3,25.271,-5.8236
4,38.855,-5.6142
5,29.589,-5.4897
6,26.534,-5.3617
7,25.009,-6.1814
8,25.946,-5.8304
9,24.898,-6.1200
10,30.656,-4.6305
11,27.290,-6.5547
12,29.984,-6.2511
13,23.572,-6.2012
14,32.984,-5.0891
15,29.075,-4.8902
16,26.446,-5.9444
17,26.945,-6.6166
18,24.532,-6.1177